[1]
A geometry-optimized La8Ir3I3N structure, computed with PBE-GGA.

Properties
Total DFT energy (no corrections)   -6.2228 eV/atom
Fermi-level density of states   12.30 states/eV/cell
Crystal system   monoclinic
Formation energy (no corrections)   -0.958 eV per atom
Symmetry   C2/m

```
La8Ir3I3N
1.0
8.275 0.000 0.000
-4.138 7.245 -0.031
0.000 -4.808 8.301
La I Ir N
8 3 3 1
Direct
0.729 0.459 0.687
0.214 0.965 0.676
0.249 0.035 0.324
0.751 0.965 0.676
0.786 0.035 0.324
0.271 0.541 0.313
0.781 0.562 0.322
0.219 0.438 0.678
0.500 0.500 0.000
0.000 0.000 0.000
0.000 0.500 0.000
0.500 0.000 0.500
0.500 0.500 0.500
0.000 0.500 0.500
0.000 0.000 0.500
```



[2]
A geometry-optimized La6Ir2I3N structure, computed with PBE-GGA.

Properties
Total DFT energy (no corrections)   -6.1405 eV/atom
Fermi-level density of states   2.14 states/eV/cell
Crystal system   monoclinic
Formation energy (no corrections)   -1.119 eV per atom
Symmetry   C2/m

```
La6Ir2I3N
1.0
7.178 0.004 0.003
-3.584 6.219 0.003
-1.196 -2.071 8.187
La Ir N I
6 2 1 3
Direct
0.745 0.745 0.180
0.940 0.626 0.822
0.060 0.374 0.178
0.626 0.940 0.822
0.374 0.060 0.178
0.255 0.255 0.820
0.333 0.667 0.000
0.667 0.333 0.000
0.000 0.000 0.000
0.170 0.830 0.500
0.830 0.170 0.500
0.500 0.500 0.500
```



[3]
A geometry-optimized NaLa2IrI structure, computed with PBE-GGA.

Properties
Total DFT energy (no corrections)   -3.7536 eV/atom
Fermi-level density of states   6.58 states/eV/cell
Crystal system   tetragonal
Formation energy (no corrections)   0.563 eV per atom
Symmetry   P4/mmm

```
NaLa2IrI
1.0
-3.604 -4.532 1.103
1.102 0.325 4.938
-4.485 3.750 0.755
Na La I Ir
1 2 1 1
Direct
0.000 0.500 0.000
0.500 0.000 0.000
0.000 0.000 0.500
0.000 0.000 0.000
0.500 0.500 0.500
```



[4]
A geometry-optimized La4NiIrI2 structure, computed with PBE-GGA.

Properties
Total DFT energy (no corrections)   -5.6116 eV/atom
Fermi-level density of states   4.50 states/eV/cell
Crystal system   monoclinic
Formation energy (no corrections)   -0.930 eV per atom
Symmetry   P2/m

```
La4NiIrI2
1.0
-2.080 3.581 0.901
-6.244 -3.027 -2.379
0.565 -1.788 8.409
I Ir Ni La
2 1 1 4
Direct
0.000 0.500 0.500
0.500 0.000 0.500
0.500 0.500 0.000
0.000 0.000 0.000
0.000 0.727 0.186
0.500 0.773 0.817
0.000 0.273 0.814
0.500 0.227 0.183
```



[5]
A geometry-optimized La6NiIr2I3 structure, computed with PBE-GGA.

Properties
Total DFT energy (no corrections)   -5.8014 eV/atom
Fermi-level density of states   6.00 states/eV/cell
Crystal system   monoclinic
Formation energy (no corrections)   -0.992 eV per atom
Symmetry   C2/m

```
La6NiIr2I3
1.0
-7.291 0.040 -0.934
4.444 -0.853 -5.793
0.768 -7.916 3.309
La I Ir Ni
6 3 2 1
Direct
0.396 0.062 0.185
0.727 0.727 0.185
0.062 0.396 0.185
0.938 0.604 0.815
0.273 0.273 0.815
0.604 0.938 0.815
0.167 0.833 0.500
0.500 0.500 0.500
0.833 0.167 0.500
0.333 0.667 0.000
0.667 0.333 0.000
0.000 0.000 0.000
```



[6]
A geometry-optimized La8Ir3I4O structure, computed with PBE-GGA.

Properties
Total DFT energy (no corrections)   -6.0696 eV/atom
Fermi-level density of states   10.75 states/eV/cell
Crystal system   monoclinic
Formation energy (no corrections)   -1.247 eV per atom
Symmetry   C2/m

```
La8Ir3I4O
1.0
8.311 0.000 0.000
0.000 9.511 0.758
-4.156 -4.194 5.962
O La Ir I
1 8 3 4
Direct
0.000 0.500 0.000
0.259 0.320 0.039
0.270 0.313 0.541
0.780 0.320 0.039
0.229 0.686 0.457
0.741 0.680 0.961
0.730 0.687 0.459
0.220 0.680 0.961
0.771 0.314 0.543
0.000 0.500 0.500
0.500 0.500 0.500
0.500 0.500 0.000
0.000 0.000 0.500
0.500 0.000 0.000
0.000 0.000 0.000
0.500 0.000 0.500
```